Entry 1:
{
  "formula": "CoHgTe2",
  "functional": "SCAN",
  "state": "PBEsol geometry",
  "lattice_angstrom": [[-3.217, 0.376, 0.147], [-0.171, -3.082, 4.146], [0.621, 4.106, 3.078]],
  "species": ["Co", "Hg", "Te", "Te"],
  "frac_coords": [[0.500, 0.500, 0.500], [0.500, 0.000, 0.000], [0.000, 0.000, 0.500], [0.000, 0.500, 0.000]],
  "density_g_cm3": 9.9,
  "dft_energy_ev_per_atom": -39.359,
  "raw_formation_energy_ev_per_atom": 0.635
}

---

Entry 2:
{
  "formula": "TbCr2Si2C",
  "functional": "SCAN",
  "state": "PBEsol geometry",
  "lattice_angstrom": [[-3.540, -1.578, 0.573], [-0.492, -0.304, -3.875], [2.128, -4.738, 0.101]],
  "species": ["Cr", "Cr", "Si", "Si", "Tb", "C"],
  "frac_coords": [[0.000, 0.500, 0.000], [0.500, 0.000, 0.000], [0.500, 0.500, 0.270], [0.500, 0.500, 0.730], [0.000, 0.000, 0.500], [0.000, 0.000, 0.000]],
  "density_g_cm3": 6.9,
  "dft_energy_ev_per_atom": -19.445,
  "raw_formation_energy_ev_per_atom": -0.502
}

---

Entry 3:
{
  "formula": "ScTaCo4",
  "functional": "SCAN",
  "state": "PBEsol geometry",
  "lattice_angstrom": [[-2.918, -0.732, -3.635], [-1.500, -4.365, -0.980], [-4.500, -1.180, 0.787]],
  "species": ["Sc", "Co", "Co", "Co", "Co", "Ta"],
  "frac_coords": [[0.750, 0.750, 0.750], [0.376, 0.376, 0.376], [0.376, 0.376, 0.873], [0.873, 0.376, 0.376], [0.376, 0.873, 0.376], [0.000, 0.000, 0.000]],
  "ef_ev_per_atom": -0.085,
  "density_g_cm3": 10.3,
  "dft_energy_ev_per_atom": -25.091
}

---

Entry 4:
{
  "formula": "BaTe2Os",
  "functional": "SCAN",
  "state": "PBEsol geometry",
  "lattice_angstrom": [[-0.882, -2.895, -4.225], [0.945, -5.110, 0.107], [-3.952, -3.375, -0.059]],
  "species": ["Ba", "Os", "Te", "Te"],
  "frac_coords": [[0.500, 0.500, 0.500], [0.000, 0.000, 0.000], [0.250, 0.250, 0.250], [0.750, 0.750, 0.750]],
  "density_g_cm3": 9.7,
  "dft_energy_ev_per_atom": -46.072,
  "raw_formation_energy_ev_per_atom": 0.411,
  "de_polymorph_mev_per_atom": 521
}

---

Entry 5:
{
  "formula": "InW3",
  "functional": "SCAN",
  "state": "PBEsol geometry",
  "lattice_angstrom": [[2.773, 0.000, 0.000], [0.000, 5.115, 0.011], [0.000, -2.065, 4.680]],
  "species": ["In", "W", "W", "W"],
  "frac_coords": [[0.000, 0.000, 0.000], [0.500, 0.000, 0.500], [0.500, 0.500, 0.000], [0.000, 0.500, 0.500]],
  "ef_ev_per_atom": 0.634,
  "density_g_cm3": 16.7,
  "dft_energy_ev_per_atom": -59.979
}

---

Entry 6:
{
  "formula": "ScCuHg",
  "functional": "SCAN",
  "state": "PBEsol geometry",
  "lattice_angstrom": [[3.105, 0.000, 0.000], [0.000, 4.462, 0.000], [0.000, -2.231, 3.864]],
  "species": ["Sc", "Hg", "Cu"],
  "frac_coords": [[0.500, 0.333, 0.667], [0.000, 0.667, 0.333], [0.000, 0.000, 0.000]],
  "ef_ev_per_atom": -0.398,
  "density_g_cm3": 9.6,
  "dft_energy_ev_per_atom": -32.932,
  "de_polymorph_mev_per_atom": 0
}

---

Entry 7:
{
  "formula": "HfBiS3",
  "functional": "SCAN",
  "state": "PBEsol geometry",
  "lattice_angstrom": [[4.872, 0.000, 0.000], [0.000, 4.872, 0.000], [0.000, 0.000, 4.872]],
  "species": ["S", "S", "S", "Hf", "Bi"],
  "frac_coords": [[0.000, 0.500, 0.000], [0.000, 0.000, 0.500], [0.500, 0.000, 0.000], [0.000, 0.000, 0.000], [0.500, 0.500, 0.500]],
  "density_g_cm3": 6.9,
  "dft_energy_ev_per_atom": -34.712,
  "raw_formation_energy_ev_per_atom": -0.684,
  "de_polymorph_mev_per_atom": 0
}

---

Entry 8:
{
  "formula": "MgReAu2",
  "functional": "SCAN",
  "state": "PBEsol geometry",
  "lattice_angstrom": [[2.718, 0.000, 0.000], [-1.359, 4.611, 0.000], [0.000, -0.739, 5.225]],
  "species": ["Au", "Au", "Mg", "Re"],
  "frac_coords": [[0.747, 0.494, 0.743], [0.253, 0.506, 0.257], [0.500, 0.000, 0.000], [0.000, 0.000, 0.500]],
  "ef_ev_per_atom": 0.216,
  "density_g_cm3": 15.3,
  "dft_energy_ev_per_atom": -53.380
}

---

Entry 9:
{
  "formula": "IrRuPb2",
  "functional": "SCAN",
  "state": "PBEsol geometry",
  "lattice_angstrom": [[2.974, 0.000, 0.000], [0.000, 3.530, 0.000], [0.000, 0.000, 8.011]],
  "species": ["Ir", "Pb", "Pb", "Ru"],
  "frac_coords": [[0.500, 0.500, 0.698], [0.000, 0.000, 0.939], [0.500, 0.500, 0.311], [0.000, 0.000, 0.552]],
  "ef_ev_per_atom": 0.389,
  "density_g_cm3": 14.0,
  "dft_energy_ev_per_atom": -63.983,
  "de_polymorph_mev_per_atom": 0
}

---

Entry 10:
{
  "formula": "CaReAg",
  "functional": "SCAN",
  "state": "PBEsol geometry",
  "lattice_angstrom": [[-1.991, -0.117, 4.125], [-0.096, -3.910, 2.387], [2.565, -0.446, 3.770]],
  "species": ["Re", "Ca", "Ag"],
  "frac_coords": [[0.250, 0.250, 0.250], [0.500, 0.500, 0.500], [0.000, 0.000, 0.000]],
  "ef_ev_per_atom": 1.379,
  "density_g_cm3": 8.2,
  "dft_energy_ev_per_atom": -35.997
}

---

Entry 11:
{
  "formula": "Fe2SbSe",
  "functional": "SCAN",
  "state": "PBEsol geometry",
  "lattice_angstrom": [[-0.844, 1.391, 3.265], [-2.902, -2.202, 0.188], [4.595, -2.997, 0.426]],
  "species": ["Fe", "Fe", "Sb", "Se"],
  "frac_coords": [[0.000, 0.000, 0.000], [0.750, 0.250, 0.500], [0.500, 0.500, 0.000], [0.250, 0.750, 0.500]],
  "density_g_cm3": 8.0,
  "dft_energy_ev_per_atom": -22.927,
  "raw_formation_energy_ev_per_atom": 0.473,
  "de_polymorph_mev_per_atom": 435
}

---

Entry 12:
{
  "formula": "Mg2ScCd",
  "functional": "SCAN",
  "state": "PBEsol geometry",
  "lattice_angstrom": [[3.971, 0.000, 0.000], [0.000, 4.584, 0.000], [0.000, 0.000, 4.686]],
  "species": ["Sc", "Mg", "Mg", "Cd"],
  "frac_coords": [[0.500, 0.000, 0.500], [0.000, 0.000, 0.000], [0.500, 0.500, 0.000], [0.000, 0.500, 0.500]],
  "ef_ev_per_atom": -0.209,
  "density_g_cm3": 4.0,
  "dft_energy_ev_per_atom": -13.858
}

---

Entry 13:
{
  "formula": "PAu3",
  "functional": "SCAN",
  "state": "PBEsol geometry",
  "lattice_angstrom": [[-0.594, 1.825, 2.156], [-1.676, -0.053, -2.349], [-5.292, -6.351, 3.918]],
  "species": ["Au", "Au", "Au", "P"],
  "frac_coords": [[0.000, 0.000, 0.261], [0.000, 0.000, 0.739], [0.333, 0.667, 0.000], [0.333, 0.667, 0.500]],
  "ef_ev_per_atom": 0.313,
  "density_g_cm3": 15.6,
  "dft_energy_ev_per_atom": -54.155,
  "de_polymorph_mev_per_atom": 346
}

---

Entry 14:
{
  "formula": "CaIr2",
  "functional": "SCAN",
  "state": "PBEsol geometry",
  "lattice_angstrom": [[-2.966, -0.027, -2.007], [0.246, -3.559, -0.315], [-2.700, -0.540, 3.998]],
  "species": ["Ca", "Ir", "Ir"],
  "frac_coords": [[0.000, 0.000, 0.000], [0.000, 0.500, 0.500], [0.500, 0.000, 0.500]],
  "ef_ev_per_atom": 0.005,
  "density_g_cm3": 11.3,
  "dft_energy_ev_per_atom": -50.615
}

---

Entry 15:
{
  "formula": "POs",
  "functional": "SCAN",
  "state": "PBEsol geometry",
  "lattice_angstrom": [[-0.869, 0.250, 2.736], [-1.542, -1.566, -1.864], [4.084, -6.246, 1.869]],
  "species": ["Os", "Os", "P", "P"],
  "frac_coords": [[0.333, 0.667, 0.144], [0.667, 0.333, 0.856], [0.333, 0.667, 0.638], [0.667, 0.333, 0.362]],
  "ef_ev_per_atom": 0.158,
  "density_g_cm3": 13.3,
  "dft_energy_ev_per_atom": -40.981
}

---

Size of the total moment, record by record: 0.544; 0.364; 0.001; 0.000; 0.000; 0.000; 0.000; 0.000; 0.000; 0.824; 1.437; 0.000; 0.000; 0.000; 0.000 μB/atom
Calculated volume, record by record: 21.7; 13.3; 12.4; 24.8; 16.6; 17.8; 23.1; 16.4; 21.0; 22.7; 16.2; 21.3; 16.5; 20.8; 13.8 Å³ per atom
DOS(E_F), record by record: 3.67; 2.61; 7.22; 3.28; 2.50; 0.99; 2.89; 2.65; 3.77; 1.85; 2.64; 2.53; 1.37; 3.57; 1.99 states/eV/cell